DFT (GGA-PBE) results for TmScZnRe after structural relaxation.

Cell: 4.7548 4.7548 4.7548 Å, 60.00 60.00 60.00°
Positions (direct):
Tm1 0.0000 0.0000 0.0000
Sc1 0.5000 0.5000 0.5000
Zn1 0.7500 0.7500 0.7500
Re1 0.2500 0.2500 0.2500

Calculated values
- Calculated volume: 19.0 A^3/atom
- Size of the total moment: 0.0 μB per formula unit
- Crystal system: cubic
- Fermi-level density of states: 3.3 states/eV per cell
- E_form: -114 meV/atom